(1)
Below is a relaxed LiHgRh crystal, with properties calculated at the PBE level.

Cell and atoms, written as POSCAR:
```
LiHgRh
1.0
5.017 0.280 -0.286
2.706 4.234 0.286
-3.712 -2.512 2.289
Li Hg Rh
1 1 1
Direct
0.323 0.323 0.000
0.997 0.997 0.000
0.680 0.680 0.000
```

- excess energy over the best structure of this formula in the dataset (eV/atom) = 0.000
- symmetry = Imm2

(2)
Below is a relaxed Li14HgRh crystal, with properties calculated at the PBE level.

Cell and atoms, written as POSCAR:
```
Li14HgRh
1.0
6.541 -0.014 0.000
0.014 6.541 0.000
0.000 0.000 6.545
Li Hg Rh
14 1 1
Direct
0.375 0.875 0.000
0.375 0.875 0.500
0.610 0.140 0.725
0.610 0.610 0.275
0.875 0.375 0.500
0.140 0.610 0.725
0.875 0.875 0.000
0.140 0.610 0.275
0.375 0.375 0.000
0.610 0.140 0.275
0.140 0.140 0.725
0.875 0.375 0.000
0.140 0.140 0.275
0.610 0.610 0.725
0.875 0.875 0.500
0.375 0.375 0.500
```

- symmetry = P4/mmm
- E_tot (eV per atom) = -2.235

D(E_F) list, top to bottom, in states/eV per atom: 0.6221 0.5283
Volume list, top to bottom, in Å³ per atom: 15.9 17.5